A plane-wave DFT calculation with PBE was carried out for a relaxed structure of Hf2Zn16Cu.

a = 6.648 Å, b = 6.648 Å, c = 6.648 Å
α = 82.33°, β = 82.33°, γ = 82.33°
Element x y z (fractional)
Hf 0.000 0.000 0.000
Hf 0.337 0.337 0.337
Zn 0.026 0.026 0.501
Zn 0.026 0.501 0.026
Zn 0.171 0.665 0.665
Zn 0.312 0.312 0.823
Zn 0.312 0.823 0.312
Zn 0.366 0.666 0.967
Zn 0.366 0.967 0.666
Zn 0.501 0.026 0.026
Zn 0.665 0.171 0.665
Zn 0.665 0.665 0.171
Zn 0.666 0.366 0.967
Zn 0.666 0.967 0.366
Zn 0.767 0.767 0.767
Zn 0.823 0.312 0.312
Zn 0.967 0.366 0.666
Zn 0.967 0.666 0.366
Cu 0.565 0.565 0.565

## Properties
DFT formation energy = -0.080 eV per atom
Magnetization = 0.0 Bohr magnetons per cell
SG = R3m
Total energy = -45.903 eV per cell